# 1
Here is crystalline ZrPaVTc at its relaxed geometry from Alexandria via LeMat-Bulk. Energies are from PBE.

Cell and atoms, written as POSCAR:
```
ZrPaVTc
1.0
0.0000 3.3504 3.3504
3.3504 0.0000 3.3504
3.3504 3.3504 0.0000
Zr Pa V Tc
1 1 1 1
Cartesian
0.0000 0.0000 0.0000
3.3504 3.3504 3.3504
5.0256 5.0256 5.0256
1.6752 1.6752 1.6752
```

Output
DFT formation energy: -0.07 eV per atom
Space group: F-43m



# 2
Here is crystalline Li2BiAu at its relaxed geometry from Alexandria via LeMat-Bulk. Energies are from PBE.

Cell and atoms, written as POSCAR:
```
Li2BiAu
1.0
4.7557 0.0000 0.0000
0.0000 6.0399 0.0000
0.0000 0.0000 5.3033
Li Bi Au
4 2 2
Cartesian
1.1889 0.0330 0.8477
1.1889 2.9869 0.8477
3.5668 3.0529 4.4557
3.5668 6.0069 4.4557
1.1889 1.5100 3.4837
3.5668 4.5299 1.8196
1.1889 4.5299 3.7644
3.5668 1.5100 1.5389
```

Output
DFT formation energy: -0.44 eV per atom
Space group: Pmmn



# 3
Here is crystalline Ba3PmSn2O9 at its relaxed geometry from Alexandria via LeMat-Bulk. Energies are from PBE.

Cell and atoms, written as POSCAR:
```
Ba3PmSn2O9
1.0
6.0931 0.0000 0.0000
-3.0466 5.2768 0.0000
0.0000 0.0000 7.5230
Ba Pm Sn O
3 1 2 9
Cartesian
0.0000 0.0000 0.0000
0.0000 3.5179 5.0764
3.0466 1.7589 2.4467
0.0000 0.0000 3.7615
0.0000 3.5179 1.2131
3.0466 1.7589 6.3100
-1.5233 2.6384 0.0000
0.0000 1.8339 2.3870
-1.4583 4.3599 2.3870
1.5882 0.9170 5.1361
3.0466 0.0000 0.0000
1.5233 2.6384 0.0000
1.4584 4.3599 2.3870
4.5049 0.9170 5.1361
3.0466 3.4429 5.1361
```

Output
Formation energy without anion corrections: -2.340 eV per atom
Space group: P-3m1



# 4
Here is crystalline MgCo3As at its relaxed geometry from Alexandria via LeMat-Bulk. Energies are from PBE.

Cell and atoms, written as POSCAR:
```
MgCo3As
1.0
4.3311 0.0000 0.0000
0.0000 4.3311 0.0000
0.0000 0.0000 4.3311
Mg Co As
1 3 1
Cartesian
0.0000 0.0000 0.0000
0.0000 2.1656 2.1656
2.1656 0.0000 2.1656
2.1656 2.1656 0.0000
2.1656 2.1656 2.1656
```

Output
DFT formation energy: 0.40 eV per atom
Space group: Pm-3m



# 5
Here is crystalline PuSc2Au at its relaxed geometry from Alexandria via LeMat-Bulk. Energies are from PBE.

Cell and atoms, written as POSCAR:
```
PuSc2Au
1.0
3.3747 0.0000 0.0000
0.0000 3.3747 0.0000
0.0000 0.0000 7.8324
Pu Sc Au
1 2 1
Cartesian
0.0000 0.0000 0.0000
1.6873 1.6873 2.2367
1.6873 1.6873 5.5957
0.0000 0.0000 3.9162
```

Output
ΔE to the lowest computed polymorph: 0.0000 eV/atom
DFT formation energy: -0.33 eV per atom
Space group: P4/mmm



# 6
Here is crystalline SrPt10Pb at its relaxed geometry from Alexandria via LeMat-Bulk. Energies are from PBE.

Cell and atoms, written as POSCAR:
```
SrPt10Pb
1.0
4.4217 0.0000 0.0000
0.0000 5.4788 0.0000
0.0000 0.0000 9.4078
Sr Pt Pb
1 10 1
Cartesian
0.0000 0.0000 0.0000
0.0000 0.0000 3.1839
0.0000 0.0000 6.2239
0.0000 2.7394 1.6279
0.0000 2.7394 7.7799
2.2109 0.0000 4.7039
2.2109 1.3623 2.3408
2.2109 1.3623 7.0670
2.2109 2.7394 0.0000
2.2109 4.1165 2.3408
2.2109 4.1165 7.0670
0.0000 2.7394 4.7039
```

Output
DFT formation energy: -0.31 eV per atom
Space group: Pmmm



# 7
Here is crystalline PrSm2TmSe5 at its relaxed geometry from Alexandria via LeMat-Bulk. Energies are from PBE.

Cell and atoms, written as POSCAR:
```
PrSm2TmSe5
1.0
5.0850 0.0000 0.0000
0.0000 5.0850 0.0000
0.0000 0.0000 11.0111
Pr Sm Tm Se
1 2 1 5
Cartesian
0.0000 0.0000 0.0000
2.5425 2.5425 3.6997
2.5425 2.5425 7.3114
0.0000 0.0000 5.5055
0.0000 0.0000 2.7900
0.0000 0.0000 8.2211
0.0000 2.5425 5.5055
2.5425 0.0000 5.5055
2.5425 2.5425 0.0000
```

Output
Formation energy without anion corrections: -1.273 eV per atom
Space group: P4/mmm



# 8
Here is crystalline Ca2MgGa3Cu4 at its relaxed geometry from Alexandria via LeMat-Bulk. Energies are from PBE.

Cell and atoms, written as POSCAR:
```
Ca2MgGa3Cu4
1.0
4.0863 0.0000 0.0000
0.0000 4.0863 0.0000
0.0000 0.0000 11.1078
Ca Mg Ga Cu
2 1 3 4
Cartesian
0.0000 2.0431 2.6659
2.0431 0.0000 8.4419
0.0000 0.0000 5.5539
0.0000 2.0431 9.6664
2.0431 0.0000 1.4414
2.0431 2.0431 5.5539
0.0000 0.0000 0.0000
0.0000 2.0431 7.2067
2.0431 0.0000 3.9012
2.0431 2.0431 0.0000
```

Output
DFT formation energy: -0.28 eV per atom
Space group: P-4m2



# 9
Here is crystalline Pm4AlPd at its relaxed geometry from Alexandria via LeMat-Bulk. Energies are from PBE.

Cell and atoms, written as POSCAR:
```
Pm4AlPd
1.0
5.4381 0.0000 0.0000
0.0000 7.0796 0.0000
-1.2640 0.0000 8.6802
Pm Al Pd
8 2 2
Cartesian
0.8064 1.7699 0.4824
0.6714 5.3097 3.2816
0.8052 3.6657 6.3313
0.8052 6.9537 6.3313
3.3689 0.1259 2.3489
3.3689 3.4139 2.3489
3.5028 1.7699 5.3985
3.3677 5.3097 8.1978
0.7596 1.7699 3.6379
3.4145 5.3097 5.0423
1.8211 5.3097 0.4975
2.3530 1.7699 8.1827
```

Output
ΔE to the lowest computed polymorph: 0.0000 eV/atom
DFT formation energy: -0.35 eV per atom
Space group: P2_1/m



Number 1: VASP energy -37.8 eV/f.u., magnetization 0.0 μB/f.u., N(E_F) 1.38 states/eV/atom. Number 2: VASP energy -12.8 eV/f.u., magnetization 0.0 μB/f.u., N(E_F) 0.29 states/eV/atom. Number 3: VASP energy -98.3 eV/f.u., magnetization 0.6 μB/f.u., N(E_F) 0.77 states/eV/atom. Number 4: VASP energy -25.6 eV/f.u., magnetization 2.6 μB/f.u., N(E_F) 1.51 states/eV/atom. Number 5: VASP energy -31.6 eV/f.u., magnetization 6.1 μB/f.u., N(E_F) 1.82 states/eV/atom. Number 6: VASP energy -69.5 eV/f.u., magnetization 0.0 μB/f.u., N(E_F) 0.59 states/eV/atom. Number 7: VASP energy -47.6 eV/f.u., magnetization 0.0 μB/f.u., N(E_F) 0.58 states/eV/atom. Number 8: VASP energy -33.8 eV/f.u., magnetization 0.0 μB/f.u., N(E_F) 0.45 states/eV/atom. Number 9: VASP energy -30.0 eV/f.u., magnetization 0.0 μB/f.u., N(E_F) 1.24 states/eV/atom.